This record from the Alexandria database describes an optimized crystal structure of Si2SbTe. The functional is GGA-PBE.

Properties
uncorrected energy	-4.212	eV/atom
E_form (uncorrected)	0.32	eV per atom
V	98	Å³ per cell
symmetry	P2/m, No. 10
E above lowest polymorph	13.1	kJ per mole of atoms
theoretical density	5.16	g cm⁻³

Cell: 4.9238 3.9580 5.1873 Å, 90.00 103.50 90.00°
Closest atoms and distances in Å follow each position.
Fractional coordinates of all 4 atoms:
Si1 0.1975 0.0000 0.1878  1 Si 2.41
Si2 0.8025 0.0000 0.8122  1 Si 2.41
Sb1 0.5000 0.5000 0.0000  4 Si 2.79
Te1 0.0000 0.5000 0.5000  4 Si 2.87, 2 Sb 3.13

=====

This record from the Alexandria database describes an optimized crystal structure of SiSb3Te. The functional is GGA-PBE.

Properties
uncorrected energy	-2.966	eV/atom
E_form (uncorrected)	1.22	eV per atom
V	184	Å³ per cell
symmetry	Pm-3m, No. 221
E above lowest polymorph	61.9	kJ per mole of atoms
theoretical density	4.71	g cm⁻³

Cell: 5.6839 5.6839 5.6839 Å, 90.00 90.00 90.00°
Closest atoms and distances in Å follow each position.
Fractional coordinates of all 5 atoms:
Si1 0.0000 0.0000 0.0000  12 Sb 4.02
Sb1 0.0000 0.5000 0.5000  2 Te 2.84
Sb2 0.5000 0.0000 0.5000  2 Te 2.84
Sb3 0.5000 0.5000 0.0000  2 Te 2.84
Te1 0.5000 0.5000 0.5000  6 Sb 2.84

=====

This record from the Alexandria database describes an optimized crystal structure of Si2SbTe. The functional is GGA-PBE.

Properties
uncorrected energy	-3.907	eV/atom
E_form (uncorrected)	0.62	eV per atom
V	178	Å³ per cell
symmetry	Immm, No. 71
E above lowest polymorph	42.6	kJ per mole of atoms
theoretical density	5.69	g cm⁻³

Cell: 3.5600 5.2189 9.5906 Å, 90.00 90.00 90.00°
Closest atoms and distances in Å follow each position.
Fractional coordinates of all 8 atoms:
Si1 0.0000 0.0000 0.2482  2 Te 2.97, 2 Sb 3.00, 4 Si 3.16
Si2 0.0000 0.0000 0.7518  2 Te 2.97, 2 Sb 3.00, 4 Si 3.16
Si3 0.5000 0.5000 0.2518  2 Te 2.97, 2 Sb 3.00, 4 Si 3.16
Si4 0.5000 0.5000 0.7482  2 Te 2.97, 2 Sb 3.00, 4 Si 3.16
Sb1 0.0000 0.5000 0.0000  4 Si 3.00, 4 Te 3.16
Sb2 0.5000 0.0000 0.5000  4 Si 3.00, 4 Te 3.16
Te1 0.0000 0.5000 0.5000  4 Si 2.97, 4 Sb 3.16
Te2 0.5000 0.0000 0.0000  4 Si 2.97, 4 Sb 3.16

=====

This record from the Alexandria database describes an optimized crystal structure of Si2SbTe. The functional is GGA-PBE.

Properties
uncorrected energy	-3.907	eV/atom
E_form (uncorrected)	0.62	eV per atom
V	89	Å³ per cell
symmetry	Pmmm, No. 47
E above lowest polymorph	42.6	kJ per mole of atoms
theoretical density	5.71	g cm⁻³

Cell: 3.5633 4.7705 5.2288 Å, 90.00 90.00 90.00°
Closest atoms and distances in Å follow each position.
Fractional coordinates of all 4 atoms:
Si1 0.0000 0.0000 0.0000  4 Te 2.98, 4 Si 3.16
Si2 0.5000 0.0000 0.5000  4 Sb 2.98, 4 Si 3.16
Sb1 0.0000 0.5000 0.5000  4 Si 2.98, 4 Te 3.16
Te1 0.5000 0.5000 0.0000  4 Si 2.98, 4 Sb 3.16